A plane-wave DFT calculation with GGA-PBE was carried out for crystalline Re2TcP at its relaxed geometry.

Calculated values
DFT formation energy in eV per atom: 0.122
Space group: No. 12

Lattice parameters (Å, degrees): 9.5313 2.9026 4.2713 90.00 90.89 90.00
Atoms (fractional coordinates):
Re 0.2197 0.0000 0.2402
Re 0.2803 0.5000 0.7598
Re 0.7197 0.5000 0.2402
Re 0.7803 0.0000 0.7598
Tc 0.0000 0.5000 0.0000
Tc 0.5000 0.0000 0.0000
P 0.0000 0.0000 0.5000
P 0.5000 0.5000 0.5000

---

A plane-wave DFT calculation with GGA-PBE was carried out for crystalline Re2TcP at its relaxed geometry.

Calculated values
DFT formation energy in eV per atom: 0.200
Space group: No. 47

Lattice parameters (Å, degrees): 2.9830 4.3712 4.3767 90.00 90.00 90.00
Atoms (fractional coordinates):
Re 0.0000 0.0000 0.0000
Re 0.5000 0.0000 0.5000
Tc 0.0000 0.5000 0.5000
P 0.5000 0.5000 0.0000

---

A plane-wave DFT calculation with GGA-PBE was carried out for crystalline Re2TcP at its relaxed geometry.

Calculated values
DFT formation energy in eV per atom: 0.328
Space group: No. 35

Lattice parameters (Å, degrees): 2.9566 4.7091 8.2858 90.00 90.00 90.00
Atoms (fractional coordinates):
Re 0.0000 0.0000 0.0000
Re 0.0000 0.5000 0.2740
Re 0.5000 0.0000 0.2740
Re 0.5000 0.5000 0.0000
Tc 0.0000 0.0000 0.5492
Tc 0.5000 0.5000 0.5492
P 0.0000 0.5000 0.7718
P 0.5000 0.0000 0.7718

---

A plane-wave DFT calculation with GGA-PBE was carried out for crystalline ReTcP3 at its relaxed geometry.

Calculated values
DFT formation energy in eV per atom: 1.149
Relative energy among the computed polymorphs in meV per atom: 0.0
Space group: No. 221

Lattice parameters (Å, degrees): 4.6011 4.6011 4.6011 90.00 90.00 90.00
Atoms (fractional coordinates):
Re 0.0000 0.0000 0.0000
Tc 0.5000 0.5000 0.5000
P 0.0000 0.0000 0.5000
P 0.0000 0.5000 0.0000
P 0.5000 0.0000 0.0000

---

A plane-wave DFT calculation with GGA-PBE was carried out for crystalline Re2TcP at its relaxed geometry.

Calculated values
DFT formation energy in eV per atom: 0.291
Space group: No. 119

Lattice parameters (Å, degrees): 3.7351 3.7351 8.0907 90.00 90.00 90.00
Atoms (fractional coordinates):
Re 0.0000 0.0000 0.0000
Re 0.0000 0.5000 0.2500
Re 0.5000 0.0000 0.7500
Re 0.5000 0.5000 0.5000
Tc 0.0000 0.5000 0.7500
Tc 0.5000 0.0000 0.2500
P 0.0000 0.0000 0.5000
P 0.5000 0.5000 0.0000

---

A plane-wave DFT calculation with GGA-PBE was carried out for crystalline Re2TcP at its relaxed geometry.

Calculated values
DFT formation energy in eV per atom: -0.139
Space group: No. 71

Lattice parameters (Å, degrees): 2.9004 4.3791 8.8076 90.00 90.00 90.00
Atoms (fractional coordinates):
Re 0.0000 0.0000 0.2177
Re 0.0000 0.0000 0.7823
Re 0.5000 0.5000 0.2823
Re 0.5000 0.5000 0.7177
Tc 0.0000 0.5000 0.0000
Tc 0.5000 0.0000 0.5000
P 0.0000 0.5000 0.5000
P 0.5000 0.0000 0.0000

---

A plane-wave DFT calculation with GGA-PBE was carried out for crystalline Re2TcP at its relaxed geometry.

Calculated values
DFT formation energy in eV per atom: 0.296
Space group: No. 65

Lattice parameters (Å, degrees): 4.9854 8.0164 2.8871 90.00 90.00 90.00
Atoms (fractional coordinates):
Re 0.2500 0.2500 0.0000
Re 0.2500 0.7500 0.0000
Re 0.7500 0.2500 0.0000
Re 0.7500 0.7500 0.0000
Tc 0.0000 0.0000 0.5000
Tc 0.5000 0.5000 0.5000
P 0.0000 0.5000 0.5000
P 0.5000 0.0000 0.5000

---

A plane-wave DFT calculation with GGA-PBE was carried out for crystalline ReTc3P at its relaxed geometry.

Calculated values
DFT formation energy in eV per atom: 1.950
Relative energy among the computed polymorphs in meV per atom: 2109.5
Space group: No. 221

Lattice parameters (Å, degrees): 4.6839 4.6839 4.6839 90.00 90.00 90.00
Atoms (fractional coordinates):
Re 0.0000 0.0000 0.0000
Tc 0.0000 0.0000 0.5000
Tc 0.0000 0.5000 0.0000
Tc 0.5000 0.0000 0.0000
P 0.5000 0.5000 0.5000

---

A plane-wave DFT calculation with GGA-PBE was carried out for crystalline Re2TcP4 at its relaxed geometry.

Calculated values
DFT formation energy in eV per atom: -0.337
Space group: No. 9

Lattice parameters (Å, degrees): 6.4396 6.4396 6.8598 103.00 103.00 121.05
Atoms (fractional coordinates):
Re 0.1244 0.8756 0.5000
Re 0.3790 0.6460 0.0025
Re 0.6460 0.3790 0.5025
Re 0.8756 0.1244 0.0000
Tc 0.4292 0.6818 0.6002
Tc 0.6818 0.4292 0.1002
P 0.3433 0.3875 0.2274
P 0.3875 0.3433 0.7274
P 0.4014 0.9649 0.8721
P 0.4536 0.9107 0.3543
P 0.8737 0.8759 0.1969
P 0.8759 0.8737 0.6969
P 0.9107 0.4536 0.8543
P 0.9649 0.4014 0.3721

---

A plane-wave DFT calculation with GGA-PBE was carried out for crystalline Re2TcP at its relaxed geometry.

Calculated values
DFT formation energy in eV per atom: 0.479
Space group: No. 123

Lattice parameters (Å, degrees): 3.6476 3.6476 4.3462 90.00 90.00 90.00
Atoms (fractional coordinates):
Re 0.0000 0.5000 0.0000
Re 0.5000 0.0000 0.0000
Tc 0.0000 0.0000 0.5000
P 0.5000 0.5000 0.5000

---

A plane-wave DFT calculation with GGA-PBE was carried out for crystalline Re2TcP at its relaxed geometry.

Calculated values
DFT formation energy in eV per atom: -0.120
Space group: No. 123

Lattice parameters (Å, degrees): 2.8964 2.8964 6.5962 90.00 90.00 90.00
Atoms (fractional coordinates):
Re 0.0000 0.0000 0.2225
Re 0.0000 0.0000 0.7775
Tc 0.5000 0.5000 0.5000
P 0.5000 0.5000 0.0000

---

A plane-wave DFT calculation with GGA-PBE was carried out for crystalline Re2TcP at its relaxed geometry.

Calculated values
DFT formation energy in eV per atom: 0.318
Space group: No. 139

Lattice parameters (Å, degrees): 3.7116 3.7116 8.2264 90.00 90.00 90.00
Atoms (fractional coordinates):
Re 0.0000 0.5000 0.2500
Re 0.0000 0.5000 0.7500
Re 0.5000 0.0000 0.2500
Re 0.5000 0.0000 0.7500
Tc 0.0000 0.0000 0.0000
Tc 0.5000 0.5000 0.5000
P 0.0000 0.0000 0.5000
P 0.5000 0.5000 0.0000

---

A plane-wave DFT calculation with GGA-PBE was carried out for crystalline Re2TcP at its relaxed geometry.

Calculated values
DFT formation energy in eV per atom: -0.027
Space group: No. 38

Lattice parameters (Å, degrees): 3.9297 2.8435 10.2574 90.00 90.00 90.00
Atoms (fractional coordinates):
Re 0.0000 0.0000 0.0000
Re 0.0000 0.5000 0.5000
Re 0.5000 0.0000 0.3772
Re 0.5000 0.5000 0.8772
Tc 0.5000 0.0000 0.6454
Tc 0.5000 0.5000 0.1454
P 0.0000 0.0000 0.7702
P 0.0000 0.5000 0.2702

---

A plane-wave DFT calculation with GGA-PBE was carried out for crystalline Re2TcP at its relaxed geometry.

Calculated values
DFT formation energy in eV per atom: -0.173
Space group: No. 99

Lattice parameters (Å, degrees): 2.8844 2.8844 6.6547 90.00 90.00 90.00
Atoms (fractional coordinates):
Re 0.0000 0.0000 0.0000
Re 0.5000 0.5000 0.2795
Tc 0.0000 0.0000 0.5590
P 0.5000 0.5000 0.7769

---

A plane-wave DFT calculation with GGA-PBE was carried out for crystalline Re4TcP at its relaxed geometry.

Calculated values
DFT formation energy in eV per atom: 0.820
Space group: No. 216

Lattice parameters (Å, degrees): 5.1556 5.1556 5.1556 60.00 60.00 60.00
Atoms (fractional coordinates):
Re 0.3755 0.3755 0.3755
Re 0.3755 0.3755 0.8734
Re 0.3755 0.8734 0.3755
Re 0.8734 0.3755 0.3755
Tc 0.0000 0.0000 0.0000
P 0.7500 0.7500 0.7500

---

A plane-wave DFT calculation with GGA-PBE was carried out for crystalline Re2TcP at its relaxed geometry.

Calculated values
DFT formation energy in eV per atom: 0.027
Space group: No. 166

Lattice parameters (Å, degrees): 2.8137 2.8137 24.7909 90.00 90.00 120.00
Atoms (fractional coordinates):
Re 0.0000 0.0000 0.2444
Re 0.0000 0.0000 0.7556
Re 0.3333 0.6667 0.4223
Re 0.3333 0.6667 0.9110
Re 0.6667 0.3333 0.0890
Re 0.6667 0.3333 0.5777
Tc 0.0000 0.0000 0.0000
Tc 0.3333 0.6667 0.6667
Tc 0.6667 0.3333 0.3333
P 0.0000 0.0000 0.5000
P 0.3333 0.6667 0.1667
P 0.6667 0.3333 0.8333

---

A plane-wave DFT calculation with GGA-PBE was carried out for crystalline Re2TcP at its relaxed geometry.

Calculated values
DFT formation energy in eV per atom: 0.875
Space group: No. 122

Lattice parameters (Å, degrees): 5.4658 5.4658 10.9176 90.00 90.00 90.00
Atoms (fractional coordinates):
Re 0.2327 0.2500 0.1250
Re 0.2500 0.7327 0.3750
Re 0.2500 0.7673 0.8750
Re 0.2673 0.2500 0.6250
Re 0.7327 0.7500 0.6250
Re 0.7500 0.2327 0.8750
Re 0.7500 0.2673 0.3750
Re 0.7673 0.7500 0.1250
Tc 0.0000 0.0000 0.5000
Tc 0.0000 0.5000 0.7500
Tc 0.5000 0.0000 0.2500
Tc 0.5000 0.5000 0.0000
P 0.0000 0.0000 0.0000
P 0.0000 0.5000 0.2500
P 0.5000 0.0000 0.7500
P 0.5000 0.5000 0.5000

---

A plane-wave DFT calculation with GGA-PBE was carried out for crystalline Re2TcP at its relaxed geometry.

Calculated values
DFT formation energy in eV per atom: -0.023
Space group: No. 160

Lattice parameters (Å, degrees): 2.8130 2.8130 24.8103 90.00 90.00 120.00
Atoms (fractional coordinates):
Re 0.0000 0.0000 0.0000
Re 0.0000 0.0000 0.2440
Re 0.3333 0.6667 0.6667
Re 0.3333 0.6667 0.9106
Re 0.6667 0.3333 0.3333
Re 0.6667 0.3333 0.5773
Tc 0.0000 0.0000 0.7558
Tc 0.3333 0.6667 0.4224
Tc 0.6667 0.3333 0.0891
P 0.0000 0.0000 0.4994
P 0.3333 0.6667 0.1660
P 0.6667 0.3333 0.8327

---

A plane-wave DFT calculation with GGA-PBE was carried out for crystalline Re2TcP at its relaxed geometry.

Calculated values
DFT formation energy in eV per atom: 0.238
Space group: No. 123

Lattice parameters (Å, degrees): 4.3822 4.3822 2.9515 90.00 90.00 90.00
Atoms (fractional coordinates):
Re 0.0000 0.5000 0.0000
Re 0.5000 0.0000 0.0000
Tc 0.0000 0.0000 0.5000
P 0.5000 0.5000 0.5000

---

A plane-wave DFT calculation with GGA-PBE was carried out for crystalline Re2TcP at its relaxed geometry.

Calculated values
DFT formation energy in eV per atom: 0.061
Space group: No. 10

Lattice parameters (Å, degrees): 2.8185 3.9800 5.2175 90.00 103.30 90.00
Atoms (fractional coordinates):
Re 0.1392 0.0000 0.2644
Re 0.8608 0.0000 0.7356
Tc 0.5000 0.5000 0.0000
P 0.5000 0.5000 0.5000